B2RhI: optimized geometry, PBE-GGA.

Structure (CIF):
```
data_B2RhI
_chemical_formula_sum 'B8 Rh4 I4'
_cell_length_a 5.967
_cell_length_b 5.967
_cell_length_c 5.967
_cell_angle_alpha 90.00
_cell_angle_beta 90.00
_cell_angle_gamma 90.00
_space_group_name_H-M_alt 'F m -3 m'
_space_group_IT_number 225
_space_group_name_Hall '-F 4 2 3'
loop_
_atom_site_label
_atom_site_type_symbol
_atom_site_fract_x
_atom_site_fract_y
_atom_site_fract_z
B1 B 0.250 0.250 0.250
Rh1 Rh 0.000 0.000 0.000
I1 I 0.000 0.000 0.500
```

Results
Crystal system: cubic
Energy above the lowest structure with this stoichiometry, eV/f.u.: 4.04
Raw formation energy, kJ/mol of atoms: 175
Final energy, eV/atom: -3.75
Theoretical density, Mg/m³: 7.86



BRhI3: optimized geometry, PBE-GGA.

Structure (CIF):
```
data_BRhI3
_chemical_formula_sum 'B1 Rh1 I3'
_cell_length_a 5.406
_cell_length_b 5.406
_cell_length_c 5.406
_cell_angle_alpha 90.00
_cell_angle_beta 90.00
_cell_angle_gamma 90.00
_space_group_name_H-M_alt 'P m -3 m'
_space_group_IT_number 221
_space_group_name_Hall '-P 4 2 3'
loop_
_atom_site_label
_atom_site_type_symbol
_atom_site_fract_x
_atom_site_fract_y
_atom_site_fract_z
B1 B 0.000 0.000 0.000
Rh1 Rh 0.500 0.500 0.500
I1 I 0.000 0.500 0.500
```

Results
Crystal system: cubic
Energy above the lowest structure with this stoichiometry, eV/f.u.: 0.00
Raw formation energy, kJ/mol of atoms: 100
Final energy, eV/atom: -2.70
Theoretical density, Mg/m³: 5.20



B3RhI: optimized geometry, PBE-GGA.

Structure (CIF):
```
data_B3RhI
_chemical_formula_sum 'B3 Rh1 I1'
_cell_length_a 4.325
_cell_length_b 4.325
_cell_length_c 4.325
_cell_angle_alpha 90.00
_cell_angle_beta 90.00
_cell_angle_gamma 90.00
_space_group_name_H-M_alt 'P m -3 m'
_space_group_IT_number 221
_space_group_name_Hall '-P 4 2 3'
loop_
_atom_site_label
_atom_site_type_symbol
_atom_site_fract_x
_atom_site_fract_y
_atom_site_fract_z
B1 B 0.000 0.000 0.500
Rh1 Rh 0.500 0.500 0.500
I1 I 0.000 0.000 0.000
```

Results
Crystal system: cubic
Energy above the lowest structure with this stoichiometry, eV/f.u.: 8.09
Raw formation energy, kJ/mol of atoms: 271
Final energy, eV/atom: -2.97
Theoretical density, Mg/m³: 5.38



BRh3I: optimized geometry, PBE-GGA.

Structure (CIF):
```
data_BRh3I
_chemical_formula_sum 'B1 Rh3 I1'
_cell_length_a 4.247
_cell_length_b 4.247
_cell_length_c 4.247
_cell_angle_alpha 90.00
_cell_angle_beta 90.00
_cell_angle_gamma 90.00
_space_group_name_H-M_alt 'P m -3 m'
_space_group_IT_number 221
_space_group_name_Hall '-P 4 2 3'
loop_
_atom_site_label
_atom_site_type_symbol
_atom_site_fract_x
_atom_site_fract_y
_atom_site_fract_z
B1 B 0.000 0.000 0.000
Rh1 Rh 0.000 0.000 0.500
I1 I 0.500 0.500 0.500
```

Results
Crystal system: cubic
Energy above the lowest structure with this stoichiometry, eV/f.u.: 0.00
Raw formation energy, kJ/mol of atoms: 29
Final energy, eV/atom: -5.75
Theoretical density, Mg/m³: 9.68



BRhI2: optimized geometry, PBE-GGA.

Structure (CIF):
```
data_BRhI2
_chemical_formula_sum 'B4 Rh4 I8'
_cell_length_a 6.962
_cell_length_b 6.962
_cell_length_c 6.962
_cell_angle_alpha 90.00
_cell_angle_beta 90.00
_cell_angle_gamma 90.00
_space_group_name_H-M_alt 'F m -3 m'
_space_group_IT_number 225
_space_group_name_Hall '-F 4 2 3'
loop_
_atom_site_label
_atom_site_type_symbol
_atom_site_fract_x
_atom_site_fract_y
_atom_site_fract_z
B1 B 0.000 0.000 0.000
Rh1 Rh 0.000 0.000 0.500
I1 I 0.250 0.250 0.250
```

Results
Crystal system: cubic
Energy above the lowest structure with this stoichiometry, eV/f.u.: 1.66
Raw formation energy, kJ/mol of atoms: 135
Final energy, eV/atom: -2.89
Theoretical density, Mg/m³: 7.23



BRhI2: optimized geometry, PBE-GGA.

Structure (CIF):
```
data_BRhI2
_chemical_formula_sum 'B4 Rh4 I8'
_cell_length_a 5.789
_cell_length_b 5.789
_cell_length_c 11.532
_cell_angle_alpha 90.00
_cell_angle_beta 90.00
_cell_angle_gamma 90.00
_space_group_name_H-M_alt 'I -4 2 d'
_space_group_IT_number 122
_space_group_name_Hall 'I -4 2bw'
loop_
_atom_site_label
_atom_site_type_symbol
_atom_site_fract_x
_atom_site_fract_y
_atom_site_fract_z
B1 B 0.000 0.000 0.000
Rh1 Rh 0.000 0.000 0.500
I1 I 0.223 0.250 0.125
```

Results
Crystal system: tetragonal
Energy above the lowest structure with this stoichiometry, eV/f.u.: 0.00
Raw formation energy, kJ/mol of atoms: 94
Final energy, eV/atom: -3.30
Theoretical density, Mg/m³: 6.32



B3RhI: optimized geometry, PBE-GGA.

Structure (CIF):
```
data_B3RhI
_chemical_formula_sum 'B3 Rh1 I1'
_cell_length_a 4.266
_cell_length_b 4.266
_cell_length_c 4.266
_cell_angle_alpha 90.00
_cell_angle_beta 90.00
_cell_angle_gamma 90.00
_space_group_name_H-M_alt 'P m -3 m'
_space_group_IT_number 221
_space_group_name_Hall '-P 4 2 3'
loop_
_atom_site_label
_atom_site_type_symbol
_atom_site_fract_x
_atom_site_fract_y
_atom_site_fract_z
B1 B 0.000 0.000 0.500
Rh1 Rh 0.000 0.000 0.000
I1 I 0.500 0.500 0.500
```

Results
Crystal system: cubic
Energy above the lowest structure with this stoichiometry, eV/f.u.: 0.00
Raw formation energy, kJ/mol of atoms: 115
Final energy, eV/atom: -4.59
Theoretical density, Mg/m³: 5.61



BTe2RhI: optimized geometry, PBE-GGA.

Structure (CIF):
```
data_BTe2RhI
_chemical_formula_sum 'B1 Te2 Rh1 I1'
_cell_length_a 5.170
_cell_length_b 5.170
_cell_length_c 5.588
_cell_angle_alpha 90.00
_cell_angle_beta 90.00
_cell_angle_gamma 90.00
_space_group_name_H-M_alt 'P 4/m m m'
_space_group_IT_number 123
_space_group_name_Hall '-P 4 2'
loop_
_atom_site_label
_atom_site_type_symbol
_atom_site_fract_x
_atom_site_fract_y
_atom_site_fract_z
B1 B 0.000 0.000 0.000
Te1 Te 0.000 0.500 0.500
Rh1 Rh 0.500 0.500 0.500
I1 I 0.500 0.500 0.000
```

Results
Crystal system: tetragonal
Energy above the lowest structure with this stoichiometry, eV/f.u.: 0.34
Raw formation energy, kJ/mol of atoms: 112
Final energy, eV/atom: -3.21
Theoretical density, Mg/m³: 5.51



BTe2RhI: optimized geometry, PBE-GGA.

Structure (CIF):
```
data_BTe2RhI
_chemical_formula_sum 'B1 Te2 Rh1 I1'
_cell_length_a 4.821
_cell_length_b 4.821
_cell_length_c 4.788
_cell_angle_alpha 90.00
_cell_angle_beta 90.00
_cell_angle_gamma 90.00
_space_group_name_H-M_alt 'P 4/m m m'
_space_group_IT_number 123
_space_group_name_Hall '-P 4 2'
loop_
_atom_site_label
_atom_site_type_symbol
_atom_site_fract_x
_atom_site_fract_y
_atom_site_fract_z
B1 B 0.000 0.000 0.000
Te1 Te 0.000 0.500 0.000
Rh1 Rh 0.500 0.500 0.500
I1 I 0.000 0.000 0.500
```

Results
Crystal system: tetragonal
Energy above the lowest structure with this stoichiometry, eV/f.u.: 0.00
Raw formation energy, kJ/mol of atoms: 105
Final energy, eV/atom: -3.28
Theoretical density, Mg/m³: 7.40



V2BRhI: optimized geometry, PBE-GGA.

Structure (CIF):
```
data_V2BRhI
_chemical_formula_sum 'V2 B1 Rh1 I1'
_cell_length_a 4.724
_cell_length_b 4.724
_cell_length_c 5.333
_cell_angle_alpha 90.00
_cell_angle_beta 90.00
_cell_angle_gamma 90.00
_space_group_name_H-M_alt 'P 4/m m m'
_space_group_IT_number 123
_space_group_name_Hall '-P 4 2'
loop_
_atom_site_label
_atom_site_type_symbol
_atom_site_fract_x
_atom_site_fract_y
_atom_site_fract_z
V1 V 0.000 0.500 0.000
B1 B 0.000 0.000 0.500
Rh1 Rh 0.500 0.500 0.000
I1 I 0.500 0.500 0.500
```

Results
Crystal system: tetragonal
Raw formation energy, kJ/mol of atoms: 170
Final energy, eV/atom: -5.00
Theoretical density, Mg/m³: 4.78



BRu3I: optimized geometry, PBE-GGA.

Structure (CIF):
```
data_BRu3I
_chemical_formula_sum 'B1 Ru3 I1'
_cell_length_a 4.863
_cell_length_b 4.863
_cell_length_c 4.863
_cell_angle_alpha 90.00
_cell_angle_beta 90.00
_cell_angle_gamma 90.00
_space_group_name_H-M_alt 'P m -3 m'
_space_group_IT_number 221
_space_group_name_Hall '-P 4 2 3'
loop_
_atom_site_label
_atom_site_type_symbol
_atom_site_fract_x
_atom_site_fract_y
_atom_site_fract_z
B1 B 0.000 0.000 0.000
Ru1 Ru 0.000 0.500 0.500
I1 I 0.500 0.500 0.500
```

Results
Crystal system: cubic
Energy above the lowest structure with this stoichiometry, eV/f.u.: 10.43
Raw formation energy, kJ/mol of atoms: 261
Final energy, eV/atom: -4.51
Theoretical density, Mg/m³: 6.37



BRu2I2: optimized geometry, PBE-GGA.

Structure (CIF):
```
data_BRu2I2
_chemical_formula_sum 'B2 Ru4 I4'
_cell_length_a 7.752
_cell_length_b 7.752
_cell_length_c 3.264
_cell_angle_alpha 90.00
_cell_angle_beta 90.00
_cell_angle_gamma 90.00
_space_group_name_H-M_alt 'P 4/m b m'
_space_group_IT_number 127
_space_group_name_Hall '-P 4 2ab'
loop_
_atom_site_label
_atom_site_type_symbol
_atom_site_fract_x
_atom_site_fract_y
_atom_site_fract_z
B1 B 0.000 0.000 0.000
Ru1 Ru 0.126 0.374 0.500
I1 I 0.171 0.671 0.000
```

Results
Crystal system: tetragonal
Energy above the lowest structure with this stoichiometry, eV/f.u.: 1.16
Raw formation energy, kJ/mol of atoms: 162
Final energy, eV/atom: -3.99
Theoretical density, Mg/m³: 7.90



Question: Look up the final energy of the sixth one.
Answer: -3.30 eV/atom



Question: Among the records above, which one has the highest final energy?
Answer: BRhI3



Repeat the fourth record exactly.
BRh3I: optimized geometry, PBE-GGA.

Structure (CIF):
```
data_BRh3I
_chemical_formula_sum 'B1 Rh3 I1'
_cell_length_a 4.247
_cell_length_b 4.247
_cell_length_c 4.247
_cell_angle_alpha 90.00
_cell_angle_beta 90.00
_cell_angle_gamma 90.00
_space_group_name_H-M_alt 'P m -3 m'
_space_group_IT_number 221
_space_group_name_Hall '-P 4 2 3'
loop_
_atom_site_label
_atom_site_type_symbol
_atom_site_fract_x
_atom_site_fract_y
_atom_site_fract_z
B1 B 0.000 0.000 0.000
Rh1 Rh 0.000 0.000 0.500
I1 I 0.500 0.500 0.500
```

Results
Crystal system: cubic
Energy above the lowest structure with this stoichiometry, eV/f.u.: 0.00
Raw formation energy, kJ/mol of atoms: 29
Final energy, eV/atom: -5.75
Theoretical density, Mg/m³: 9.68